No. 1
This record from the Alexandria database describes crystalline MgIrCl at its relaxed geometry. The functional is PBE.

Structure (POSCAR):
```
MgIrCl
1.0
4.218 0.000 0.000
-2.109 3.653 0.000
0.000 0.000 8.924
Mg Ir Cl
2 2 2
Direct
0.333 0.667 0.250
0.667 0.333 0.750
0.000 0.000 0.000
0.000 0.000 0.500
0.000 0.000 0.250
0.000 0.000 0.750
```

Calculated values
uncorrected formation energy	789	meV/atom
D(E_F)	3.3	states/eV/cell
SG	P6_3/mmc, No. 194
total magnetization	0.00	μB per cell
distance to the lowest polymorph of the same formula	1497.5	meV per atom
calculated volume	22.92	Å³/atom

No. 2
This record from the Alexandria database describes crystalline MgIrCl6 at its relaxed geometry. The functional is PBE.

Structure (POSCAR):
```
MgIrCl6
1.0
4.018 -5.615 0.000
4.018 5.615 0.000
-1.772 0.000 5.940
Mg Ir Cl
1 1 6
Direct
0.000 0.000 0.000
0.000 0.000 0.500
0.023 0.735 0.226
0.243 0.243 0.362
0.265 0.977 0.774
0.735 0.023 0.226
0.757 0.757 0.638
0.977 0.265 0.774
```

Calculated values
uncorrected formation energy	-929	meV/atom
D(E_F)	7.4	states/eV/cell
SG	C2/m, No. 12
total magnetization	1.05	μB per cell
distance to the lowest polymorph of the same formula	0.0	meV per atom
calculated volume	33.51	Å³/atom